Record 1
DFT (PBE-GGA) results for a relaxed structure of CsBi6Au3.

Cell and atoms, written as extended XYZ:
```
20
Lattice="-1.6340 -0.3565 -3.9995 3.0794 -12.1298 -0.1768 -11.4511 -1.4296 4.8060" Properties=species:S:1:pos:R:3 pbc="T T T"
Cs -7.2867 -13.2655 0.6355
Cs -2.7190 -0.6504 -0.0058
Bi -5.8382 -5.8325 -0.6189
Bi -4.1676 -8.0834 1.2486
Bi 0.8287 -9.7210 -2.9962
Bi -10.8345 -4.1949 3.6258
Bi -0.6944 -7.0574 -2.6113
Bi -9.3113 -6.8585 3.2410
Bi -2.5064 -9.7895 -1.6274
Bi -7.4993 -4.1264 2.2571
Bi -6.6615 -2.2514 -0.6018
Bi -3.3443 -11.6645 1.2315
Bi -7.7978 -9.2248 0.4841
Bi -2.2079 -4.6911 0.1456
Au -8.4465 -6.3329 0.4914
Au -1.5593 -7.5830 0.1383
Au -5.2417 -10.2094 -0.4725
Au -4.7641 -3.7065 1.1021
Au -1.6718 -3.7891 -2.5033
Au -8.3339 -10.1269 3.1330
```

Computed properties:
**DFT total energy**: -3.487 eV/atom
**Space group**: P2_1/m
**Formation enthalpy at 0 K**: -0.089 eV/atom
**N(E_F)**: 4.5 states/eV/f.u.

=====

Record 2
DFT (PBE-GGA) results for a relaxed structure of CrCo3Pt.

Cell and atoms, written as extended XYZ:
```
5
Lattice="-1.3171 3.8764 -0.5102 -2.1695 -1.1724 -3.3076 -3.2527 -0.7876 2.4126" Properties=species:S:1:pos:R:3 pbc="T T T"
Cr 0.0000 0.0000 0.0000
Co -1.0847 -0.5862 -1.6538
Co -1.6264 -0.3938 1.2063
Co -0.6585 1.9382 -0.2551
Pt -3.3696 0.9582 -0.7026
```

Computed properties:
**Energy above the most stable polymorph in this dataset**: 0 meV/atom
**DFT total energy**: -6.304 eV/atom
**Space group**: Pm-3m
**Formation enthalpy at 0 K**: 1.092 eV/atom
**N(E_F)**: 8.9 states/eV/f.u.

=====

Record 3
DFT (PBE-GGA) results for a relaxed structure of La6GeP2I3.

Cell and atoms, written as extended XYZ:
```
12
Lattice="-7.3324 0.1546 -1.7349 2.2524 -2.8685 6.5952 1.0627 7.9936 1.6782" Properties=species:S:1:pos:R:3 pbc="T T T"
La -4.6586 4.8695 3.6501
La -3.4740 -0.4097 3.8486
La 0.6414 0.4102 2.8884
La -1.3998 3.8416 6.4823
La -0.5433 5.6894 2.6899
La -2.6175 1.4381 0.0562
Ge 0.0000 0.0000 0.0000
P -0.9398 -1.8617 3.8209
P -4.1402 -0.8523 1.0395
I 1.2078 1.6254 6.0646
I -5.2251 3.6543 0.4739
I -2.0086 2.6398 3.2693
```

Computed properties:
**DFT total energy**: -5.480 eV/atom
**Space group**: C2/m
**Formation energy (no corrections)**: -1.343 eV/atom
**N(E_F)**: 5.4 states/eV/f.u.

=====

Record 4
DFT (PBE-GGA) results for a relaxed structure of KLiPb3.

Cell and atoms, written as extended XYZ:
```
5
Lattice="5.1034 0.0009 -0.0021 0.0024 4.8549 0.0008 2.5472 2.4263 6.4791" Properties=species:S:1:pos:R:3 pbc="T T T"
K 4.3470 3.1845 5.9028
Li 1.7969 5.6126 4.3077
Pb 4.3474 5.6126 2.7473
Pb 1.8037 3.1863 2.6285
Pb 4.3547 3.1853 0.6820
```

Computed properties:
**Energy above the most stable polymorph in this dataset**: 0 meV/atom
**DFT total energy**: -3.000 eV/atom
**Space group**: Cm
**Formation enthalpy at 0 K**: -0.173 eV/atom
**N(E_F)**: 1.6 states/eV/f.u.

=====

Record 5
DFT (PBE-GGA) results for a relaxed structure of KInC3.

Cell and atoms, written as extended XYZ:
```
5
Lattice="-0.9831 -1.1177 -5.3000 3.4655 -4.2696 0.2576 -4.1629 -3.2904 1.4660" Properties=species:S:1:pos:R:3 pbc="T T T"
K 0.0000 0.0000 0.0000
C 1.7328 -2.1348 0.1288
C -2.0815 -1.6452 0.7330
C -0.4915 -0.5589 -2.6500
In -0.8402 -4.3389 -1.7882
```

Computed properties:
**Energy above the most stable polymorph in this dataset**: 1100 meV/atom
**DFT total energy**: -2.444 eV/atom
**Space group**: Pm-3m
**Formation enthalpy at 0 K**: 3.857 eV/atom
**N(E_F)**: 6.9 states/eV/f.u.

=====

Record 6
DFT (PBE-GGA) results for a relaxed structure of Mn3CdIr.

Cell and atoms, written as extended XYZ:
```
5
Lattice="4.8603 0.0000 0.0000 0.0000 4.8603 0.0000 0.0000 0.0000 4.8603" Properties=species:S:1:pos:R:3 pbc="T T T"
Ir 0.0000 0.0000 0.0000
Mn 0.0000 2.4302 0.0000
Mn 0.0000 0.0000 2.4302
Mn 2.4302 0.0000 0.0000
Cd 2.4302 2.4302 2.4302
```

Computed properties:
**Energy above the most stable polymorph in this dataset**: 0 meV/atom
**DFT total energy**: -6.626 eV/atom
**Space group**: Pm-3m
**Formation enthalpy at 0 K**: 0.831 eV/atom
**N(E_F)**: 4.1 states/eV/f.u.

=====

Record 7
DFT (PBE-GGA) results for a relaxed structure of LaEuTlSb.

Cell and atoms, written as extended XYZ:
```
4
Lattice="-5.1351 2.2192 -0.0201 -4.3939 -3.1025 1.5371 -2.6120 1.0507 4.8341" Properties=species:S:1:pos:R:3 pbc="T T T"
Eu -9.1057 0.1256 4.7633
Sb 0.0000 0.0000 0.0000
Tl -6.0705 0.0837 3.1755
La -3.0352 0.0419 1.5878
```

Computed properties:
**DFT total energy**: -6.058 eV/atom
**Space group**: F-43m
**Formation energy (no corrections)**: -0.635 eV/atom
**N(E_F)**: 3.8 states/eV/f.u.

=====

Record 8
DFT (PBE-GGA) results for a relaxed structure of Mn2BeP.

Cell and atoms, written as extended XYZ:
```
4
Lattice="4.5203 0.0004 -0.0076 2.1652 3.9680 0.0076 -3.0465 -2.4832 2.2328" Properties=species:S:1:pos:R:3 pbc="T T T"
P 3.4051 2.0212 0.0000
Mn 6.6578 3.9519 0.0000
Mn 2.3671 -0.2737 1.1126
Be 1.2371 1.7383 1.1202
```

Computed properties:
**Energy above the most stable polymorph in this dataset**: 157 meV/atom
**DFT total energy**: -7.037 eV/atom
**Space group**: Imm2
**Formation enthalpy at 0 K**: -0.169 eV/atom
**N(E_F)**: 3.8 states/eV/f.u.

=====

Record 9
DFT (PBE-GGA) results for a relaxed structure of DyZn2Pd2.

Cell and atoms, written as extended XYZ:
```
10
Lattice="-2.5820 -1.8886 3.3284 3.0544 -3.7785 0.2254 3.3859 5.0550 5.4948" Properties=species:S:1:pos:R:3 pbc="T T T"
Dy 0.9108 0.0863 2.3563
Dy 2.9475 -0.6984 6.6924
Zn 4.6885 2.1544 6.4602
Zn -0.8302 -2.7665 2.5885
Zn 2.5831 1.5283 4.4717
Zn 1.2752 -2.1404 4.5769
Pd 3.5082 -0.9244 3.7976
Pd 0.3501 0.3123 5.2511
Pd 2.7368 3.6880 5.8164
Pd 1.1215 -4.3001 3.2323
```

Computed properties:
**Energy above the most stable polymorph in this dataset**: 0 meV/atom
**DFT total energy**: -4.145 eV/atom
**Space group**: P2_1/m
**Formation enthalpy at 0 K**: -0.638 eV/atom
**N(E_F)**: 2.0 states/eV/f.u.

=====

Record 10
DFT (PBE-GGA) results for a relaxed structure of GaTeSe2N.

Cell and atoms, written as extended XYZ:
```
5
Lattice="5.4657 0.0000 0.0000 0.0000 5.4657 0.0000 0.0000 0.0000 3.9907" Properties=species:S:1:pos:R:3 pbc="T T T"
Te 0.0000 0.0000 0.0000
Ga 2.7328 2.7328 1.9953
Se 0.0000 2.7328 0.0000
Se 2.7328 0.0000 0.0000
N 0.0000 0.0000 1.9953
```

Computed properties:
**Energy above the most stable polymorph in this dataset**: 190 meV/atom
**DFT total energy**: -3.493 eV/atom
**Space group**: P4/mmm
**Formation energy (no corrections)**: 0.799 eV/atom
**N(E_F)**: 6.5 states/eV/f.u.

=====

Record 11
DFT (PBE-GGA) results for a relaxed structure of Ti2AgI.

Cell and atoms, written as extended XYZ:
```
8
Lattice="5.8180 0.0000 0.0000 0.0000 5.8180 0.0000 2.9090 2.9090 6.5958" Properties=species:S:1:pos:R:3 pbc="T T T"
I 0.0000 0.0000 0.0000
I 5.8180 2.9090 3.2979
Ag 2.9090 2.9090 0.0000
Ag 2.9090 5.8180 3.2979
Ti 4.1352 1.4545 1.6489
Ti 1.6828 4.3635 1.6489
Ti 4.3635 4.5918 4.9468
Ti 7.2725 7.0441 4.9468
```

Computed properties:
**Energy above the most stable polymorph in this dataset**: 476 meV/atom
**DFT total energy**: -4.233 eV/atom
**Space group**: I-42d
**Formation energy (no corrections)**: 0.814 eV/atom
**N(E_F)**: 4.6 states/eV/f.u.

=====

Record 12
DFT (PBE-GGA) results for a relaxed structure of ZrAl2Cu.

Cell and atoms, written as extended XYZ:
```
4
Lattice="-2.0748 -2.2546 3.3609 2.4206 -1.5815 3.5105 -0.4236 1.9177 4.1020" Properties=species:S:1:pos:R:3 pbc="T T T"
Cu -0.0195 -0.4796 2.7433
Zr 0.0000 0.0000 0.0000
Al -0.0389 -0.9591 5.4867
Al -0.0584 -1.4387 8.2300
```

Computed properties:
**DFT total energy**: -5.162 eV/atom
**Space group**: F-43m
**Formation enthalpy at 0 K**: -0.129 eV/atom
**N(E_F)**: 1.2 states/eV/f.u.

=====

Record 13
DFT (PBE-GGA) results for a relaxed structure of Pm2GeCl2.

Cell and atoms, written as extended XYZ:
```
5
Lattice="4.2174 0.0000 0.0000 -2.1087 3.6528 -0.0233 0.0000 0.0089 9.8840" Properties=species:S:1:pos:R:3 pbc="T T T"
Pm 2.1087 2.4280 3.2484
Pm 0.0000 1.2337 6.6124
Ge 2.1087 0.0045 4.9420
Cl 0.0000 1.2012 1.6877
Cl 2.1087 2.4605 8.1730
```

Computed properties:
**DFT total energy**: -5.209 eV/atom
**Space group**: C2/m
**Formation energy (no corrections)**: -1.647 eV/atom
**N(E_F)**: 0.7 states/eV/f.u.

=====

Record 14
DFT (PBE-GGA) results for a relaxed structure of Cs2ZnPtI6.

Cell and atoms, written as extended XYZ:
```
10
Lattice="-4.3690 4.8837 5.5213 -5.9766 1.4099 -5.9763 -8.1599 -1.6290 1.6331" Properties=species:S:1:pos:R:3 pbc="T T T"
Cs -8.8509 3.2007 3.4635
Cs -9.6546 1.4638 -2.2854
I -6.4278 1.1402 0.5542
I -12.0777 3.5242 0.6239
I -2.2646 1.3776 -0.0996
I -8.0810 4.9159 -0.3554
I -4.7209 4.1233 3.0045
I -5.6247 2.1703 -3.4595
Zn -5.1728 3.1468 -0.2275
Pt 0.0000 0.0000 0.0000
```

Computed properties:
**DFT total energy**: -2.618 eV/atom
**Space group**: I4/mmm
**Formation energy (no corrections)**: -0.786 eV/atom
**N(E_F)**: 0.0 states/eV/f.u.

=====

Record 15
DFT (PBE-GGA) results for a relaxed structure of CuAgRu.

Cell and atoms, written as extended XYZ:
```
6
Lattice="-1.8424 -2.0663 -0.3371 1.0194 -0.4932 -2.5485 7.4486 -7.3598 4.4039" Properties=species:S:1:pos:R:3 pbc="T T T"
Ru 4.7778 -4.4639 1.2492
Ru 2.2593 -4.1757 1.7119
Cu 2.4927 -2.2060 -0.1019
Cu 4.5444 -6.4336 3.0629
Ag -0.1926 -1.7530 0.2622
Ag 7.2297 -6.8866 2.6988
```

Computed properties:
**Energy above the most stable polymorph in this dataset**: 0 meV/atom
**DFT total energy**: -5.251 eV/atom
**Space group**: P4/nmm
**Formation enthalpy at 0 K**: 0.156 eV/atom
**N(E_F)**: 1.9 states/eV/f.u.

=====

Record 16
DFT (PBE-GGA) results for a relaxed structure of Rb4La3NpO8.

Cell and atoms, written as extended XYZ:
```
16
Lattice="7.4308 0.0000 0.0000 0.0000 7.8680 0.2965 -3.7154 -3.7068 5.2605" Properties=species:S:1:pos:R:3 pbc="T T T"
Rb 3.7154 0.0000 0.0000
Rb 1.8577 -1.8534 2.6302
Rb 0.0000 0.0000 0.0000
Rb -1.8577 -1.8534 2.6302
La 3.7154 3.9340 0.1482
La 1.8577 2.0806 2.7785
La -1.8577 2.0806 2.7785
Np 0.0000 3.9340 0.1482
O -1.9270 1.7910 5.2475
O 0.0000 3.7136 2.5192
O 0.0000 0.4947 2.9730
O 1.9270 1.7911 5.2475
O 1.7884 2.3702 0.3095
O 3.7154 3.6665 2.5839
O 3.7154 0.4476 3.0377
O 5.6424 2.3702 0.3095
```

Computed properties:
**DFT total energy**: -6.940 eV/atom
**Space group**: R-3m
**Formation energy (no corrections)**: -2.486 eV/atom
**N(E_F)**: 11.3 states/eV/f.u.

=====

Record 17
DFT (PBE-GGA) results for a relaxed structure of Ca2ZnCrN.

Cell and atoms, written as extended XYZ:
```
5
Lattice="5.0810 0.0000 0.0000 0.0000 5.0810 0.0000 0.0000 0.0000 3.7837" Properties=species:S:1:pos:R:3 pbc="T T T"
Cr 0.0000 0.0000 1.8919
Zn 2.5405 2.5405 1.8919
Ca 0.0000 2.5405 0.0000
Ca 2.5405 0.0000 0.0000
N 0.0000 0.0000 0.0000
```

Computed properties:
**DFT total energy**: -5.053 eV/atom
**Space group**: P4/mmm
**Formation energy (no corrections)**: -0.408 eV/atom
**N(E_F)**: 3.5 states/eV/f.u.

=====

Record 18
DFT (PBE-GGA) results for a relaxed structure of BeTl2Au.

Cell and atoms, written as extended XYZ:
```
4
Lattice="-0.4905 -3.1348 1.4103 2.7567 0.4923 2.0530 -4.2348 2.9071 4.9893" Properties=species:S:1:pos:R:3 pbc="T T T"
Be -2.0429 0.8590 5.4736
Tl -4.1636 2.8583 4.9055
Tl -2.1885 1.5024 2.5784
Au 0.0744 -0.5945 2.9790
```

Computed properties:
**Energy above the most stable polymorph in this dataset**: 375 meV/atom
**DFT total energy**: -2.466 eV/atom
**Space group**: P4/mmm
**Formation enthalpy at 0 K**: 0.468 eV/atom
**N(E_F)**: 0.5 states/eV/f.u.

=====

Record 19
DFT (PBE-GGA) results for a relaxed structure of Ac3SnPt.

Cell and atoms, written as extended XYZ:
```
20
Lattice="7.3104 0.0000 0.0000 0.0000 10.5893 -1.2746 0.0000 -5.3727 10.3158" Properties=species:S:1:pos:R:3 pbc="T T T"
Ac 0.4728 4.2605 5.6666
Ac 6.8375 0.9561 3.3746
Ac 4.1280 3.5644 7.8953
Ac 3.1823 1.6522 1.1460
Ac 4.3165 4.4391 3.7893
Ac 2.9938 0.7775 5.2520
Ac 0.6613 8.7585 -0.5432
Ac 6.6490 -3.5419 9.5845
Ac 0.7190 5.3481 1.5512
Ac 6.5914 -0.1315 7.4900
Ac 4.3742 7.8495 1.6948
Ac 2.9362 -2.6329 7.3464
Sn 6.1550 7.3235 4.7139
Sn 1.1553 -2.1069 4.3273
Sn 2.4998 0.5014 8.8480
Sn 4.8105 4.7152 0.1933
Pt 1.7416 3.0031 3.3354
Pt 5.5688 2.2135 5.7058
Pt 5.3967 -0.3948 1.1852
Pt 1.9136 5.6114 7.8560
```

Computed properties:
**Energy above the most stable polymorph in this dataset**: 65 meV/atom
**DFT total energy**: -5.198 eV/atom
**Space group**: P2_1/c
**Formation enthalpy at 0 K**: -0.725 eV/atom
**N(E_F)**: 3.2 states/eV/f.u.

=====

Record 20
DFT (PBE-GGA) results for a relaxed structure of KYC.

Cell and atoms, written as extended XYZ:
```
6
Lattice="8.1895 -0.0024 0.0112 5.0890 6.4171 -0.0092 1.9181 -3.9838 3.4749" Properties=species:S:1:pos:R:3 pbc="T T T"
Y 7.6555 0.4204 3.0382
Y 9.2188 -2.7816 3.0497
K 2.7786 0.5155 1.2924
K 10.2926 4.1454 1.2954
C 7.8371 2.3723 1.7230
C 7.3738 3.3329 0.8852
```

Computed properties:
**Energy above the most stable polymorph in this dataset**: 264 meV/atom
**DFT total energy**: -5.398 eV/atom
**Space group**: P1
**Formation enthalpy at 0 K**: 0.197 eV/atom
**N(E_F)**: 2.3 states/eV/f.u.

=====

Record 21
DFT (PBE-GGA) results for a relaxed structure of CdSnP.

Cell and atoms, written as extended XYZ:
```
3
Lattice="3.9234 0.0000 0.0000 -1.9617 3.3978 0.0000 0.0000 0.0000 5.3456" Properties=species:S:1:pos:R:3 pbc="T T T"
P 1.9617 1.1326 1.8568
Sn 0.0000 2.2652 3.3070
Cd 0.0000 0.0000 0.1818
```

Computed properties:
**Energy above the most stable polymorph in this dataset**: 35 meV/atom
**DFT total energy**: -3.423 eV/atom
**Space group**: P3m1
**Formation enthalpy at 0 K**: 0.019 eV/atom
**N(E_F)**: 1.4 states/eV/f.u.

=====

Record 22
DFT (PBE-GGA) results for a relaxed structure of CaMg2P.

Cell and atoms, written as extended XYZ:
```
8
Lattice="-8.5409 0.3581 0.8973 -0.2456 -8.5256 1.0648 -4.0879 -3.7463 3.7531" Properties=species:S:1:pos:R:3 pbc="T T T"
P -4.3933 -4.0837 0.9810
P -4.3634 -8.1778 2.8995
Ca 0.0000 0.0000 0.0000
Ca -8.5110 -3.7360 2.8157
Mg -5.6326 -1.8102 1.5525
Mg -3.0012 -6.1885 1.7956
Mg -6.3826 -6.6293 3.6451
Mg -10.7323 -9.1995 4.4372
```

Computed properties:
**DFT total energy**: -2.986 eV/atom
**Space group**: I-42d
**Formation enthalpy at 0 K**: -0.335 eV/atom
**N(E_F)**: 4.2 states/eV/f.u.

=====

Record 23
DFT (PBE-GGA) results for a relaxed structure of Th4SiI5.

Cell and atoms, written as extended XYZ:
```
10
Lattice="-1.8990 0.3218 3.5945 -7.1278 -5.2161 -3.2987 6.2352 -6.9638 1.6043" Properties=species:S:1:pos:R:3 pbc="T T T"
Th 0.3467 -2.3091 2.7032
Th -1.4676 -1.1025 -0.6767
Th -3.1384 -9.5490 -0.8031
Th -1.3240 -10.7555 2.5768
Si -0.9495 0.1609 1.7973
I -0.5478 -4.0319 0.0716
I -3.8391 -6.4099 -1.4543
I 1.0474 -5.4482 3.3545
I -4.5134 -2.4471 0.1479
I -2.2438 -7.8261 1.8286
```

Computed properties:
**DFT total energy**: -5.204 eV/atom
**Space group**: C2/m
**Formation energy (no corrections)**: -0.919 eV/atom
**N(E_F)**: 5.1 states/eV/f.u.

=====

Record 24
DFT (PBE-GGA) results for a relaxed structure of Ba2LiTc.

Cell and atoms, written as extended XYZ:
```
4
Lattice="-3.9235 -9.9998 3.0152 -2.2832 -8.9481 6.2610 -5.8037 -7.8074 5.4628" Properties=species:S:1:pos:R:3 pbc="T T T"
Ba -0.1867 -0.4160 0.2292
Ba -5.8184 -12.9616 7.1404
Li -3.0026 -6.6888 3.6848
Tc -9.0078 -20.0664 11.0543
```

Computed properties:
**Energy above the most stable polymorph in this dataset**: 146 meV/atom
**DFT total energy**: -3.242 eV/atom
**Space group**: R-3m
**Formation enthalpy at 0 K**: 0.790 eV/atom
**N(E_F)**: 2.7 states/eV/f.u.